Record 1
# PBE-GGA Tb5Nd3Er3, relaxed
# **DOS at the Fermi energy**: 15.68 states/eV/f.u.
# **ΔH_f (0 K)**: 805 meV/atom
# **Calculated volume**: 39.8 Å³ per atom
# **Uncorrected energy**: -3.844 eV per atom
data_Tb5Nd3Er3
_cell_length_a 9.6892
_cell_length_b 9.6892
_cell_length_c 5.3825
_cell_angle_alpha 90.00
_cell_angle_beta 90.00
_cell_angle_gamma 120.00
_space_group_name_H-M_alt 'P -6 2 m'
_space_group_IT_number 189
_space_group_name_Hall 'P -6 -2'
loop_
_atom_site_label
_atom_site_type_symbol
_atom_site_fract_x
_atom_site_fract_y
_atom_site_fract_z
Tb1 Tb 0.0000 0.2631 0.0000
Tb2 Tb 0.3333 0.6667 0.0000
Nd1 Nd 0.0000 0.6359 0.0000
Er1 Er 0.0000 0.4543 0.5000

---

Record 2
# PBE-GGA Mn2IrCl, relaxed
# **DOS at the Fermi energy**: 4.70 states/eV/f.u.
# **Calculated volume**: 16.4 Å³ per atom
# **Uncorrected energy**: -6.942 eV per atom
# **ΔE to the lowest computed polymorph**: 40.3 kJ/mol of atoms
# **E_form (uncorrected)**: 0.32 eV per atom
data_Mn2IrCl
_cell_length_a 2.971
_cell_length_b 4.846
_cell_length_c 9.128
_cell_angle_alpha 90.00
_cell_angle_beta 90.00
_cell_angle_gamma 90.00
_space_group_name_H-M_alt 'C m m 2'
_space_group_IT_number 35
loop_
_space_group_symop_operation_xyz
'x,y,z'
'-x,-y,z'
'-x,y,z'
'x,-y,z'
'x+1/2,y+1/2,z'
'-x+1/2,-y+1/2,z'
'-x+1/2,y+1/2,z'
'x+1/2,-y+1/2,z'
loop_
_atom_site_label
_atom_site_type_symbol
_atom_site_fract_x
_atom_site_fract_y
_atom_site_fract_z
Mn1 Mn 0.000 0.000 0.000
Mn2 Mn 0.000 0.500 0.233
Ir1 Ir 0.000 0.500 0.785
Cl1 Cl 0.000 0.000 0.426

---

Record 3
# PBE-GGA Ac2SmPd, relaxed
# **DOS at the Fermi energy**: 4.51 states/eV/f.u.
# **ΔH_f (0 K)**: -390 meV/atom
# **Calculated volume**: 34.6 Å³ per atom
# **Uncorrected energy**: -4.923 eV per atom
# **ΔE to the lowest computed polymorph**: 0.0 kJ/mol of atoms
data_Ac2SmPd
_cell_length_a 7.551
_cell_length_b 10.604
_cell_length_c 6.924
_cell_angle_alpha 90.00
_cell_angle_beta 90.00
_cell_angle_gamma 90.00
_space_group_name_H-M_alt 'P n m a'
_space_group_IT_number 62
loop_
_space_group_symop_operation_xyz
'x,y,z'
'-x,-y,-z'
'-x+1/2,-y,z+1/2'
'x+1/2,y,-z+1/2'
'x+1/2,-y+1/2,-z+1/2'
'-x+1/2,y+1/2,z+1/2'
'-x,y+1/2,-z'
'x,-y+1/2,z'
loop_
_atom_site_label
_atom_site_type_symbol
_atom_site_fract_x
_atom_site_fract_y
_atom_site_fract_z
Ac1 Ac 0.183 0.065 0.168
Sm1 Sm 0.035 0.250 0.661
Pd1 Pd 0.123 0.750 0.947

---

Record 4
# PBE-GGA K3AcHo2Te6, relaxed
# **DOS at the Fermi energy**: 0.00 states/eV/f.u.
# **Calculated volume**: 37.9 Å³ per atom
# **Uncorrected energy**: -4.366 eV per atom
# **E_form (uncorrected)**: -1.42 eV per atom
data_K3AcHo2Te6
_cell_length_a 7.975
_cell_length_b 13.825
_cell_length_c 8.680
_cell_angle_alpha 90.00
_cell_angle_beta 107.93
_cell_angle_gamma 90.00
_space_group_name_H-M_alt 'C 1 2/m 1'
_space_group_IT_number 12
loop_
_space_group_symop_operation_xyz
'x,y,z'
'-x,-y,-z'
'-x,y,-z'
'x,-y,z'
'x+1/2,y+1/2,z'
'-x+1/2,-y+1/2,-z'
'-x+1/2,y+1/2,-z'
'x+1/2,-y+1/2,z'
loop_
_atom_site_label
_atom_site_type_symbol
_atom_site_fract_x
_atom_site_fract_y
_atom_site_fract_z
K1 K 0.000 0.000 0.000
K2 K 0.000 0.338 0.000
Ac1 Ac 0.000 0.500 0.500
Ho1 Ho 0.000 0.167 0.500
Te1 Te 0.218 0.000 0.711
Te2 Te 0.247 0.324 0.712

---

Record 5
# PBE-GGA LiPdI, relaxed
# **DOS at the Fermi energy**: 0.04 states/eV/f.u.
# **Calculated volume**: 23.4 Å³ per atom
# **Uncorrected energy**: -3.268 eV per atom
# **ΔE to the lowest computed polymorph**: 16.9 kJ/mol of atoms
# **E_form (uncorrected)**: -0.38 eV per atom
data_LiPdI
_cell_length_a 4.5694
_cell_length_b 4.5694
_cell_length_c 7.7695
_cell_angle_alpha 90.00
_cell_angle_beta 90.00
_cell_angle_gamma 120.00
_space_group_name_H-M_alt 'P -6 m 2'
_space_group_IT_number 187
_space_group_name_Hall 'P -6 2'
loop_
_atom_site_label
_atom_site_type_symbol
_atom_site_fract_x
_atom_site_fract_y
_atom_site_fract_z
Li1 Li 0.0000 0.0000 0.0000
Li2 Li 0.0000 0.0000 0.5000
Pd1 Pd 0.3333 0.6667 0.2015
I1 I 0.6667 0.3333 0.2524

---

Record 6
# PBE-GGA MnCdSi2, relaxed
# **DOS at the Fermi energy**: 1.80 states/eV/f.u.
# **Calculated volume**: 15.9 Å³ per atom
# **Uncorrected energy**: -4.873 eV per atom
# **E_form (uncorrected)**: 0.36 eV per atom
data_MnCdSi2
_cell_length_a 3.882
_cell_length_b 3.882
_cell_length_c 8.438
_cell_angle_alpha 90.00
_cell_angle_beta 90.00
_cell_angle_gamma 90.00
_space_group_name_H-M_alt 'I -4 m 2'
_space_group_IT_number 119
_space_group_name_Hall 'I -4 -2'
loop_
_atom_site_label
_atom_site_type_symbol
_atom_site_fract_x
_atom_site_fract_y
_atom_site_fract_z
Mn1 Mn 0.000 0.000 0.000
Cd1 Cd 0.000 0.500 0.250
Si1 Si 0.000 0.000 0.500
Si2 Si 0.000 0.500 0.750

---

Record 7
# PBE-GGA InOs2Pb, relaxed
# **DOS at the Fermi energy**: 3.32 states/eV/f.u.
# **ΔH_f (0 K)**: 864 meV/atom
# **Calculated volume**: 19.4 Å³ per atom
# **Uncorrected energy**: -6.362 eV per atom
# **ΔE to the lowest computed polymorph**: 35.5 kJ/mol of atoms
data_InOs2Pb
_cell_length_a 9.148
_cell_length_b 3.103
_cell_length_c 5.704
_cell_angle_alpha 90.00
_cell_angle_beta 106.37
_cell_angle_gamma 90.00
_space_group_name_H-M_alt 'C 1 2/m 1'
_space_group_IT_number 12
loop_
_space_group_symop_operation_xyz
'x,y,z'
'-x,-y,-z'
'-x,y,-z'
'x,-y,z'
'x+1/2,y+1/2,z'
'-x+1/2,-y+1/2,-z'
'-x+1/2,y+1/2,-z'
'x+1/2,-y+1/2,z'
loop_
_atom_site_label
_atom_site_type_symbol
_atom_site_fract_x
_atom_site_fract_y
_atom_site_fract_z
In1 In 0.000 0.000 0.000
Os1 Os 0.244 0.000 0.805
Pb1 Pb 0.000 0.500 0.500

---

Record 8
# PBE-GGA Pr4Tm3Mg2, relaxed
# **DOS at the Fermi energy**: 9.87 states/eV/f.u.
# **ΔH_f (0 K)**: -2 meV/atom
# **Calculated volume**: 31.4 Å³ per atom
# **Uncorrected energy**: -3.971 eV per atom
data_Pr4Tm3Mg2
_cell_length_a 5.6001
_cell_length_b 5.6001
_cell_length_c 10.4193
_cell_angle_alpha 90.00
_cell_angle_beta 90.00
_cell_angle_gamma 120.00
_space_group_name_H-M_alt 'P -3 m 1'
_space_group_IT_number 164
_space_group_name_Hall '-P 3 2"'
loop_
_atom_site_label
_atom_site_type_symbol
_atom_site_fract_x
_atom_site_fract_y
_atom_site_fract_z
Pr1 Pr 0.0000 0.0000 0.1691
Pr2 Pr 0.3333 0.6667 0.6211
Tm1 Tm 0.0000 0.0000 0.5000
Tm2 Tm 0.3333 0.6667 0.9729
Mg1 Mg 0.3333 0.6667 0.2902